DFT (PBE) results for crystalline ZrPdSe2 at its relaxed geometry.

Lattice parameters (Å, degrees): 6.6799 6.6799 6.6799 90.00 90.00 90.00
Closest atoms and distances in Å follow each position.
Space group Fm-3m (No. 225)
One atom of each set of equivalent atoms:
Zr 0.0000 0.0000 0.0000 x4  8 Se 2.89
Pd 0.0000 0.0000 0.5000 x4  8 Se 2.89
Se 0.2500 0.2500 0.2500 x8  4 Zr 2.89, 4 Pd 2.89

Computed properties:
ΔE to the lowest computed polymorph ... 1.01 eV per formula unit
Raw formation energy ... -0.70 eV per atom